Arrangement P

Crystalline Pa2Pb2O7 at its relaxed geometry, computed with GGA-PBE.

Lattice parameters (Å, degrees): 3.5127 7.7112 7.7112 54.95 76.83 76.83
Fractional coordinates of all 11 atoms:
O1 0.8132 0.0867 0.2870
O2 0.8436 0.4464 0.8663
O3 0.1868 0.7130 0.9133
O4 0.3481 0.7576 0.5462
O5 0.1564 0.1337 0.5536
O6 0.6519 0.4538 0.2424
O7 0.5000 0.0202 0.9798
Pb1 0.0000 0.8201 0.1799
Pb2 0.5000 0.3316 0.6684
Pa1 0.2446 0.3007 0.2101
Pa2 0.7554 0.7899 0.6993

Summary:
Total magnetic moment in μB per formula unit: 0.000
Density of states at the Fermi level in states/eV/cell: 0.0
V in Å³ per cell: 165.3


Arrangement Q

Crystalline Pa2Pb2O7 at its relaxed geometry, computed with GGA-PBE.

Lattice parameters (Å, degrees): 5.5289 5.7523 5.5289 90.00 97.41 90.00
Fractional coordinates of all 11 atoms:
Pb1 0.2495 0.5000 0.2495
Pb2 0.7505 0.5000 0.7505
Pa1 0.2679 0.0000 0.7321
Pa2 0.7321 0.0000 0.2679
O1 0.5001 0.7674 0.4999
O2 0.4999 0.2326 0.5001
O3 0.5000 0.2249 0.0001
O4 0.9999 0.2249 0.5000
O5 0.5000 0.7751 0.9999
O6 0.0001 0.7751 0.5000
O7 0.0000 0.0000 0.0000

Summary:
Total magnetic moment in μB per formula unit: 0.000
Density of states at the Fermi level in states/eV/cell: 0.0
V in Å³ per cell: 174.4


Which structure loses on stability? arrangement P does.


Arrangement P

Crystalline PmPaO2 at its relaxed geometry, computed with GGA-PBE.

Lattice parameters (Å, degrees): 3.7888 3.7888 6.6855 73.54 73.54 60.00
Fractional coordinates of all 4 atoms:
Pm1 0.0000 0.0000 0.0000
O1 0.8725 0.8725 0.3826
O2 0.1275 0.1275 0.6174
Pa1 0.5000 0.5000 0.5000

Summary:
Total magnetic moment in μB per formula unit: 0.000
Density of states at the Fermi level in states/eV/cell: 4.7
V in Å³ per cell: 78.5


Arrangement Q

Crystalline PmPaO2 at its relaxed geometry, computed with GGA-PBE.

Lattice parameters (Å, degrees): 3.0991 3.0991 6.1862 90.00 90.00 90.00
Site moments in Bohr magnetons follow the coordinates.
Fractional coordinates of all 4 atoms:
Pm1 0.5000 0.5000 0.5000  0.12
Pa1 0.5000 0.5000 0.0000  1.14
O1 0.0000 0.0000 0.2360  -0.01
O2 0.0000 0.0000 0.7640  -0.01

Summary:
Total magnetic moment in μB per formula unit: 1.342
Density of states at the Fermi level in states/eV/cell: 4.9
V in Å³ per cell: 59.4


Which structure loses on stability? arrangement Q does.


Arrangement P

Crystalline Pm2Pa2O7 at its relaxed geometry, computed with GGA-PBE.

Lattice parameters (Å, degrees): 7.7745 7.7745 7.7745 60.00 60.00 60.00
Fractional coordinates of all 22 atoms:
O1 0.0207 0.4793 0.4793
O2 0.0207 0.0207 0.4793
O3 0.2293 0.7707 0.7707
O4 0.7707 0.2293 0.2293
O5 0.4793 0.0207 0.0207
O6 0.7500 0.7500 0.7500
O7 0.0207 0.4793 0.0207
O8 0.5000 0.5000 0.5000
O9 0.4793 0.4793 0.0207
O10 0.2293 0.7707 0.2293
O11 0.7707 0.7707 0.2293
O12 0.2293 0.2293 0.7707
O13 0.4793 0.0207 0.4793
O14 0.7707 0.2293 0.7707
Pa1 0.6250 0.1250 0.1250
Pa2 0.1250 0.1250 0.1250
Pa3 0.1250 0.6250 0.1250
Pa4 0.1250 0.1250 0.6250
Pm1 0.1250 0.6250 0.6250
Pm2 0.6250 0.1250 0.6250
Pm3 0.6250 0.6250 0.1250
Pm4 0.6250 0.6250 0.6250

Summary:
Total magnetic moment in μB per formula unit: 0.070
Density of states at the Fermi level in states/eV/cell: 3.8
V in Å³ per cell: 332.3


Arrangement Q

Crystalline Pm2Pa2O7 at its relaxed geometry, computed with GGA-PBE.

Lattice parameters (Å, degrees): 5.5294 5.5704 5.5294 90.00 93.13 90.00
Fractional coordinates of all 11 atoms:
O1 0.0000 0.2394 0.5000
O2 0.5000 0.7604 0.5000
O3 0.0000 0.7606 0.5000
O4 0.5000 0.2394 0.0000
O5 0.5000 0.7606 0.0000
O6 0.0000 0.0000 0.0000
O7 0.5000 0.2396 0.5000
Pa1 0.7337 0.0000 0.2663
Pa2 0.2663 0.0000 0.7337
Pm1 0.2606 0.5000 0.2606
Pm2 0.7394 0.5000 0.7394

Summary:
Total magnetic moment in μB per formula unit: 0.000
Density of states at the Fermi level in states/eV/cell: 3.8
V in Å³ per cell: 170.1


Which structure loses on stability? arrangement Q does.